(1)
A plane-wave DFT calculation with GGA-PBEsol was carried out for an optimized crystal structure of TlCd2Pd.

```
TlCd2Pd
1.0
0.000 3.401 3.401
3.401 0.000 3.401
3.401 3.401 0.000
Tl Cd Pd
1 2 1
direct
0.000 0.000 0.000 Tl
0.250 0.250 0.250 Cd
0.750 0.750 0.750 Cd
0.500 0.500 0.500 Pd
```

***

(2)
A plane-wave DFT calculation with GGA-PBEsol was carried out for an optimized crystal structure of Tm4CdPd.

```
Tm4CdPd
1.0
0.000 6.633 6.633
6.633 0.000 6.633
6.633 6.633 0.000
Tm Cd Pd
16 4 4
direct
0.061 0.061 0.439 Tm
0.061 0.439 0.061 Tm
0.061 0.439 0.439 Tm
0.185 0.185 0.815 Tm
0.185 0.605 0.605 Tm
0.185 0.815 0.185 Tm
0.185 0.815 0.815 Tm
0.439 0.061 0.061 Tm
0.439 0.061 0.439 Tm
0.439 0.439 0.061 Tm
0.605 0.185 0.605 Tm
0.605 0.605 0.185 Tm
0.605 0.605 0.605 Tm
0.815 0.185 0.185 Tm
0.815 0.185 0.815 Tm
0.815 0.815 0.185 Tm
0.504 0.832 0.832 Cd
0.832 0.504 0.832 Cd
0.832 0.832 0.504 Cd
0.832 0.832 0.832 Cd
0.395 0.395 0.395 Pd
0.395 0.395 0.814 Pd
0.395 0.814 0.395 Pd
0.814 0.395 0.395 Pd
```

***

(3)
A plane-wave DFT calculation with GGA-PBEsol was carried out for an optimized crystal structure of Tm2CdPd2.

```
Tm2CdPd2
1.0
7.544 0.000 0.000
0.000 7.544 0.000
0.000 0.000 3.581
Tm Cd Pd
4 2 4
direct
0.170 0.330 0.000 Tm
0.330 0.830 0.000 Tm
0.670 0.170 0.000 Tm
0.830 0.670 0.000 Tm
0.000 0.000 0.500 Cd
0.500 0.500 0.500 Cd
0.130 0.630 0.500 Pd
0.370 0.130 0.500 Pd
0.630 0.870 0.500 Pd
0.870 0.370 0.500 Pd
```

***

(4)
A plane-wave DFT calculation with GGA-PBEsol was carried out for an optimized crystal structure of TmCdPd2.

```
TmCdPd2
1.0
0.000 3.300 3.300
3.300 0.000 3.300
3.300 3.300 0.000
Tm Cd Pd
1 1 2
direct
0.000 0.000 0.000 Tm
0.500 0.500 0.500 Cd
0.250 0.250 0.250 Pd
0.750 0.750 0.750 Pd
```

***

(5)
A plane-wave DFT calculation with GGA-PBEsol was carried out for an optimized crystal structure of YCd2Pd2.

```
YCd2Pd2
1.0
-1.974 1.974 6.462
1.974 -1.974 6.462
1.974 1.974 -6.462
Y Cd Pd
1 2 2
direct
0.000 0.000 0.000 Y
0.250 0.750 0.500 Cd
0.750 0.250 0.500 Cd
0.400 0.400 0.000 Pd
0.600 0.600 0.000 Pd
```

***

(6)
A plane-wave DFT calculation with GGA-PBEsol was carried out for an optimized crystal structure of ZnCd2Pd2.

```
ZnCd2Pd2
1.0
-1.877 1.877 6.701
1.877 -1.877 6.701
1.877 1.877 -6.701
Zn Cd Pd
1 2 2
direct
0.000 0.000 0.000 Zn
0.398 0.398 0.000 Cd
0.602 0.602 0.000 Cd
0.250 0.750 0.500 Pd
0.750 0.250 0.500 Pd
```

Energy relative to the lowest polymorph listed for this composition ... 40.1 kJ per mole of atoms

***

(7)
A plane-wave DFT calculation with GGA-PBEsol was carried out for an optimized crystal structure of ZnCd2Pd2.

```
ZnCd2Pd2
1.0
6.499 0.000 0.000
0.000 6.499 0.000
0.000 0.000 4.078
Zn Cd Pd
2 4 4
direct
0.000 0.000 0.000 Zn
0.500 0.500 0.000 Zn
0.159 0.341 0.500 Cd
0.341 0.841 0.500 Cd
0.659 0.159 0.500 Cd
0.841 0.659 0.500 Cd
0.146 0.646 0.000 Pd
0.354 0.146 0.000 Pd
0.646 0.854 0.000 Pd
0.854 0.354 0.000 Pd
```

Energy relative to the lowest polymorph listed for this composition ... 0.0 kJ per mole of atoms

***

(8)
A plane-wave DFT calculation with GGA-PBEsol was carried out for an optimized crystal structure of Zr3CdPd.

```
Zr3CdPd
1.0
4.992 0.000 0.000
0.000 4.992 0.000
0.000 0.000 4.992
Zr Cd Pd
3 1 1
direct
0.000 0.000 0.500 Zr
0.000 0.500 0.000 Zr
0.500 0.000 0.000 Zr
0.500 0.500 0.500 Cd
0.000 0.000 0.000 Pd
```

***

Number 1: total energy -2.779 eV/atom, formation enthalpy at 0 K -3 kJ/mol of atoms. Number 2: total energy -4.935 eV/atom, formation enthalpy at 0 K -46 kJ/mol of atoms. Number 3: total energy -5.401 eV/atom, formation enthalpy at 0 K -79 kJ/mol of atoms. Number 4: total energy -5.259 eV/atom, formation enthalpy at 0 K -73 kJ/mol of atoms. Number 5: total energy -4.723 eV/atom, formation enthalpy at 0 K -48 kJ/mol of atoms. Number 6: total energy -3.087 eV/atom, formation enthalpy at 0 K 9 kJ/mol of atoms. Number 7: total energy -3.503 eV/atom, formation enthalpy at 0 K -31 kJ/mol of atoms. Number 8: total energy -6.493 eV/atom, formation enthalpy at 0 K 38 kJ/mol of atoms.